VASP calculation (PBE-GGA) on an optimized crystal structure of K2YZn.

a b c (Å): 6.916 12.438 3.676
angles (deg): 90.00 90.00 90.00
Fractional coordinates of all 8 atoms:
K 0.250 0.250 0.000
K 0.250 0.750 0.000
K 0.750 0.250 0.000
K 0.750 0.750 0.000
Y 0.000 0.000 0.500
Y 0.500 0.500 0.500
Zn 0.000 0.500 0.500
Zn 0.500 0.000 0.500

Results
The value obtained for the raw total energy is -15.83 eV per cell. As for the formation energy: 2.0 eV per formula unit. The density of states at the Fermi level is 4.39 states/eV/f.u. As for the crystal system: orthorhombic. As for the space group: No. 65. The magnetic moment is 0.880 μB/f.u.